No. 1
Crystalline TlHg4Rh at its relaxed geometry, computed with PBE-GGA.

Cell lengths 5.8525, 5.8525, 5.8525 Å; angles 60.00, 60.00, 60.00 degrees
Fractional positions:
Rh  0.7500  0.7500  0.7500
Hg  0.3759  0.3759  0.8722
Hg  0.3759  0.8722  0.3759
Hg  0.8722  0.3759  0.3759
Hg  0.3759  0.3759  0.3759
Tl  0.0000  0.0000  0.0000

Properties
- M_tot: 0.0000 μB per atom
- Crystal system: cubic
- E: -8.4 eV/cell

=====

No. 2
Crystalline ZrCrMo2 at its relaxed geometry, computed with PBE-GGA.

Cell lengths 5.4427, 5.4427, 5.4427 Å; angles 139.85, 139.85, 58.08 degrees
Fractional positions:
Mo  0.0000  0.0000  0.0000
Mo  0.5000  0.5000  0.0000
Zr  0.2500  0.7500  0.5000
Cr  0.7500  0.2500  0.5000

Properties
- M_tot: 0.0001 μB per atom
- Crystal system: tetragonal
- Excess energy over the best structure of this formula in the dataset: 0.248 eV/atom

=====

| no. | calculated density (g/cm3) |
| --- | --- |
| 1 | 13.0 |
| 2 | 8.4 |